1.
PBE LaIr2Pt, optimized geometry; mass density = 16.0 Mg/m³; E_tot = -7.25 eV/atom; offset from the most stable computed form = 261 meV per atom; symmetry = Pmmm; ΔE_f = -0.07 eV/atom
1.0
2.8943 0.0000 0.0000
0.0000 4.0475 0.0000
0.0000 0.0000 6.3645
La Ir Pt
1 2 1
Direct
0.0000 0.0000 0.0000
0.5000 0.5000 0.2964
0.5000 0.5000 0.7036
0.0000 0.0000 0.5000

***

2.
PBE La2IrPt, optimized geometry; mass density = 11.5 Mg/m³; E_tot = -5.84 eV/atom; symmetry = Immm; ΔE_f = 0.35 eV/atom
1.0
-2.1160 2.1225 5.3526
2.1160 -2.1225 5.3526
2.1160 2.1225 -5.3526
La Ir Pt
2 1 1
Direct
0.2415 0.2415 0.0000
0.7585 0.7585 0.0000
0.0000 0.0000 0.0000
0.5000 0.5000 0.0000

***

3.
PBE La2IrPt, optimized geometry; mass density = 11.1 Mg/m³; E_tot = -7.16 eV/atom; symmetry = P2_1/m; ΔE_f = -0.97 eV/atom
1.0
5.9954 0.0000 0.0000
0.0000 4.3854 0.0000
-2.7171 0.0000 7.5462
La Ir Pt
4 2 2
Direct
0.2230 0.2500 0.4367
0.2275 0.2500 0.9250
0.7725 0.7500 0.0750
0.7770 0.7500 0.5633
0.3174 0.7500 0.7063
0.6826 0.2500 0.2937
0.3195 0.7500 0.2041
0.6805 0.2500 0.7959